# 1
{
  "formula": "KNa2MnGa",
  "functional": "SCAN",
  "state": "single point on PBEsol structure",
  "delta_e_f_ev_per_atom": 0.23,
  "final_energy_ev_per_fu": -50.23,
  "lattice": [[5.798, 0.000, 0.000], [0.000, 5.798, 0.000], [0.000, 0.000, 4.784]],
  "species": ["K", "Na", "Na", "Mn", "Ga"],
  "frac_coords": [[0.000, 0.000, 0.000], [0.000, 0.500, 0.500], [0.500, 0.000, 0.500], [0.500, 0.500, 0.500], [0.500, 0.500, 0.000]]
}



# 2
{
  "formula": "KZr2MnGa",
  "functional": "SCAN",
  "state": "single point on PBEsol structure",
  "delta_e_f_ev_per_atom": 1.89,
  "final_energy_ev_per_fu": -94.90,
  "lattice": [[4.794, 0.000, 0.000], [0.000, 4.794, 0.000], [0.000, 0.000, 4.108]],
  "species": ["K", "Zr", "Zr", "Mn", "Ga"],
  "frac_coords": [[0.000, 0.000, 0.000], [0.000, 0.500, 0.000], [0.500, 0.000, 0.000], [0.000, 0.000, 0.500], [0.500, 0.500, 0.500]]
}



# 3
{
  "formula": "KGaMo3",
  "functional": "SCAN",
  "state": "single point on PBEsol structure",
  "relative_energy_mev_per_atom": 0,
  "delta_e_f_ev_per_atom": 2.02,
  "final_energy_ev_per_fu": -119.25,
  "lattice": [[4.742, 0.000, 0.000], [0.000, 4.742, 0.000], [0.000, 0.000, 4.742]],
  "species": ["K", "Ga", "Mo", "Mo", "Mo"],
  "frac_coords": [[0.000, 0.000, 0.000], [0.500, 0.500, 0.500], [0.000, 0.500, 0.500], [0.500, 0.000, 0.500], [0.500, 0.500, 0.000]]
}



# 4
{
  "formula": "KGaMo3",
  "functional": "SCAN",
  "state": "single point on PBEsol structure",
  "relative_energy_mev_per_atom": 1106,
  "delta_e_f_ev_per_atom": 3.12,
  "final_energy_ev_per_fu": -113.72,
  "lattice": [[4.429, 0.000, 0.000], [0.000, 4.429, 0.000], [0.000, 0.000, 4.429]],
  "species": ["K", "Ga", "Mo", "Mo", "Mo"],
  "frac_coords": [[0.000, 0.000, 0.000], [0.500, 0.500, 0.500], [0.000, 0.000, 0.500], [0.000, 0.500, 0.000], [0.500, 0.000, 0.000]]
}



# 5
{
  "formula": "KGaN2",
  "functional": "SCAN",
  "state": "single point on PBEsol structure",
  "final_energy_ev_per_fu": -40.46,
  "formation_energy_uncorrected_ev_per_atom": 0.698,
  "lattice": [[1.607, 0.928, 6.835], [-1.607, 0.928, 6.835], [0.000, -1.855, 6.835]],
  "species": ["K", "Ga", "N", "N"],
  "frac_coords": [[0.000, 0.000, 0.000], [0.500, 0.500, 0.500], [0.120, 0.120, 0.120], [0.880, 0.880, 0.880]]
}



# 6
{
  "formula": "KNbGa2N",
  "functional": "SCAN",
  "state": "single point on PBEsol structure",
  "final_energy_ev_per_fu": -78.13,
  "formation_energy_uncorrected_ev_per_atom": 1.061,
  "lattice": [[4.260, 0.000, 0.000], [0.000, 4.260, 0.000], [0.000, 0.000, 4.777]],
  "species": ["K", "Nb", "Ga", "Ga", "N"],
  "frac_coords": [[0.000, 0.000, 0.000], [0.500, 0.500, 0.000], [0.000, 0.500, 0.500], [0.500, 0.000, 0.500], [0.000, 0.000, 0.500]]
}